1.
# CaPPd3 PBE optimized geometry
# Energy relative to the lowest polymorph listed for this composition ... 1694.1 meV/atom
data_CaPPd3
_chemical_formula_sum 'Ca1 P1 Pd3'
_symmetry_space_group_name_H-M 'P m -3 m'
_symmetry_Int_Tables_number 221
_symmetry_space_group_name_Hall '-P 4 2 3'
_cell_length_a 4.8541
_cell_length_b 4.8541
_cell_length_c 4.8541
_cell_angle_alpha 90.00
_cell_angle_beta 90.00
_cell_angle_gamma 90.00
loop_
_atom_site_label
_atom_site_type_symbol
_atom_site_fract_x
_atom_site_fract_y
_atom_site_fract_z
Ca1 Ca 0.0000 0.0000 0.0000
P1 P 0.5000 0.5000 0.5000
Pd1 Pd 0.0000 0.0000 0.5000



2.
# LaNdTiN3 PBE optimized geometry
# ΔE_f (raw) ... -1.261 eV/atom
data_LaNdTiN3
_chemical_formula_sum 'La2 Nd2 Ti2 N6'
_symmetry_space_group_name_H-M 'P 1 21/m 1'
_symmetry_Int_Tables_number 11
_symmetry_space_group_name_Hall '-P 2yb'
_cell_length_a 7.5956
_cell_length_b 3.6529
_cell_length_c 7.7881
_cell_angle_alpha 90.00
_cell_angle_beta 97.52
_cell_angle_gamma 90.00
loop_
_atom_site_label
_atom_site_type_symbol
_atom_site_fract_x
_atom_site_fract_y
_atom_site_fract_z
La1 La 0.1662 0.2500 0.1666
Nd1 Nd 0.3744 0.7500 0.8295
Ti1 Ti 0.0979 0.2500 0.5984
N1 N 0.1058 0.2500 0.8459
N2 N 0.1569 0.7500 0.5209
N3 N 0.3908 0.7500 0.1330



3.
# Si7Ir PBE optimized geometry
# ΔE_f (raw) ... 0.358 eV/atom
data_Si7Ir
_chemical_formula_sum 'Si28 Ir4'
_symmetry_space_group_name_H-M 'F m -3 m'
_symmetry_Int_Tables_number 225
_symmetry_space_group_name_Hall '-F 4 2 3'
_cell_length_a 7.6698
_cell_length_b 7.6698
_cell_length_c 7.6698
_cell_angle_alpha 90.00
_cell_angle_beta 90.00
_cell_angle_gamma 90.00
loop_
_atom_site_label
_atom_site_type_symbol
_atom_site_fract_x
_atom_site_fract_y
_atom_site_fract_z
Si1 Si 0.0000 0.0000 0.0000
Si2 Si 0.0000 0.2500 0.2500
Ir1 Ir 0.0000 0.0000 0.5000



4.
# Li2HgIO PBE optimized geometry
# ΔE_f (raw) ... 0.113 eV/atom
data_Li2HgIO
_chemical_formula_sum 'Li2 Hg1 I1 O1'
_symmetry_space_group_name_H-M 'P 4/m m m'
_symmetry_Int_Tables_number 123
_symmetry_space_group_name_Hall '-P 4 2'
_cell_length_a 5.2651
_cell_length_b 5.2651
_cell_length_c 6.6363
_cell_angle_alpha 90.00
_cell_angle_beta 90.00
_cell_angle_gamma 90.00
loop_
_atom_site_label
_atom_site_type_symbol
_atom_site_fract_x
_atom_site_fract_y
_atom_site_fract_z
Li1 Li 0.0000 0.5000 0.0000
Hg1 Hg 0.0000 0.0000 0.5000
I1 I 0.0000 0.0000 0.0000
O1 O 0.5000 0.5000 0.5000



5.
# Mn8Re3Mo PBE optimized geometry
# Raw total energy ... -0.37641 Ha/atom
data_Mn8Re3Mo
_chemical_formula_sum 'Mn8 Re3 Mo1'
_symmetry_space_group_name_H-M 'P 3 m 1'
_symmetry_Int_Tables_number 156
_symmetry_space_group_name_Hall 'P 3 -2"'
_cell_length_a 4.6693
_cell_length_b 4.6693
_cell_length_c 7.6847
_cell_angle_alpha 90.00
_cell_angle_beta 90.00
_cell_angle_gamma 120.00
loop_
_atom_site_label
_atom_site_type_symbol
_atom_site_fract_x
_atom_site_fract_y
_atom_site_fract_z
Mn1 Mn 0.0000 0.0000 0.0000
Mn2 Mn 0.0000 0.0000 0.4994
Mn3 Mn 0.1732 0.3464 0.2504
Mn4 Mn 0.3458 0.1729 0.7488
Re1 Re 0.3333 0.6667 0.5669
Re2 Re 0.3333 0.6667 0.9302
Re3 Re 0.6667 0.3333 0.4337
Mo1 Mo 0.6667 0.3333 0.0653



6.
# BaLaPd3 PBE optimized geometry
# Energy relative to the lowest polymorph listed for this composition ... 0.0 meV/atom
data_BaLaPd3
_chemical_formula_sum 'Ba1 La1 Pd3'
_symmetry_space_group_name_H-M 'P m -3 m'
_symmetry_Int_Tables_number 221
_symmetry_space_group_name_Hall '-P 4 2 3'
_cell_length_a 5.3960
_cell_length_b 5.3960
_cell_length_c 5.3960
_cell_angle_alpha 90.00
_cell_angle_beta 90.00
_cell_angle_gamma 90.00
loop_
_atom_site_label
_atom_site_type_symbol
_atom_site_fract_x
_atom_site_fract_y
_atom_site_fract_z
Ba1 Ba 0.0000 0.0000 0.0000
La1 La 0.5000 0.5000 0.5000
Pd1 Pd 0.0000 0.5000 0.5000



Copy entry 6 word for word.
# BaLaPd3 PBE optimized geometry
# Energy relative to the lowest polymorph listed for this composition ... 0.0 meV/atom
data_BaLaPd3
_chemical_formula_sum 'Ba1 La1 Pd3'
_symmetry_space_group_name_H-M 'P m -3 m'
_symmetry_Int_Tables_number 221
_symmetry_space_group_name_Hall '-P 4 2 3'
_cell_length_a 5.3960
_cell_length_b 5.3960
_cell_length_c 5.3960
_cell_angle_alpha 90.00
_cell_angle_beta 90.00
_cell_angle_gamma 90.00
loop_
_atom_site_label
_atom_site_type_symbol
_atom_site_fract_x
_atom_site_fract_y
_atom_site_fract_z
Ba1 Ba 0.0000 0.0000 0.0000
La1 La 0.5000 0.5000 0.5000
Pd1 Pd 0.0000 0.5000 0.5000



Please write out number 5 again, unchanged.
# Mn8Re3Mo PBE optimized geometry
# Raw total energy ... -0.37641 Ha/atom
data_Mn8Re3Mo
_chemical_formula_sum 'Mn8 Re3 Mo1'
_symmetry_space_group_name_H-M 'P 3 m 1'
_symmetry_Int_Tables_number 156
_symmetry_space_group_name_Hall 'P 3 -2"'
_cell_length_a 4.6693
_cell_length_b 4.6693
_cell_length_c 7.6847
_cell_angle_alpha 90.00
_cell_angle_beta 90.00
_cell_angle_gamma 120.00
loop_
_atom_site_label
_atom_site_type_symbol
_atom_site_fract_x
_atom_site_fract_y
_atom_site_fract_z
Mn1 Mn 0.0000 0.0000 0.0000
Mn2 Mn 0.0000 0.0000 0.4994
Mn3 Mn 0.1732 0.3464 0.2504
Mn4 Mn 0.3458 0.1729 0.7488
Re1 Re 0.3333 0.6667 0.5669
Re2 Re 0.3333 0.6667 0.9302
Re3 Re 0.6667 0.3333 0.4337
Mo1 Mo 0.6667 0.3333 0.0653